A plane-wave DFT calculation with PBE with a Hubbard U was carried out for a geometry-optimized FeH2BrO structure.

Its total energy is -3.400 eV per atom. The size of the total moment is 0.790 μB/atom.

The structure belongs to space group P4/mmm (No. 123); the cell edges are 3.295, 3.295 and 5.964 Å and the angles 90.00°, 90.00° and 90.00°. The inequivalent atoms are Fe at (0.000, 0.000, 0.000), H at (0.000, 0.500, 0.500), Br at (0.000, 0.000, 0.500) and O at (0.500, 0.500, 0.000).